# PBE Nd6CuS5, relaxed
data_Nd6CuS5
_chemical_formula_sum 'Nd12 Cu2 S10'
_symmetry_space_group_name_H-M 'C 1 2/m 1'
_symmetry_Int_Tables_number 12
_symmetry_space_group_name_Hall '-C 2y'
_cell_length_a 7.0835
_cell_length_b 12.2686
_cell_length_c 7.0722
_cell_angle_alpha 90.00
_cell_angle_beta 109.52
_cell_angle_gamma 90.00
loop_
_atom_site_label
_atom_site_type_symbol
_atom_site_fract_x
_atom_site_fract_y
_atom_site_fract_z
Nd1 Nd 0.2474 0.0000 0.2521
Nd2 Nd 0.2483 0.1689 0.7485
Cu1 Cu 0.0000 0.5000 0.0000
S1 S 0.0000 0.0000 0.5000
S2 S 0.0000 0.1657 0.0000
S3 S 0.0000 0.3330 0.5000
# magnetization = 0.000 μB per atom
# energy relative to the elements, uncorrected = -20.63 eV/f.u.
# calculated volume = 24.14 Å³ per atom



# PBE KSb4Se6, relaxed
data_KSb4Se6
_chemical_formula_sum 'K1 Sb4 Se6'
_symmetry_space_group_name_H-M 'P -6 m 2'
_symmetry_Int_Tables_number 187
_symmetry_space_group_name_Hall 'P -6 2'
_cell_length_a 8.8121
_cell_length_b 8.8121
_cell_length_c 4.4149
_cell_angle_alpha 90.00
_cell_angle_beta 90.00
_cell_angle_gamma 120.00
loop_
_atom_site_label
_atom_site_type_symbol
_atom_site_fract_x
_atom_site_fract_y
_atom_site_fract_z
K1 K 0.0000 0.0000 0.0000
Sb1 Sb 0.3333 0.6667 0.0000
Sb2 Sb 0.4166 0.2083 0.5000
Se1 Se 0.1730 0.3459 0.5000
Se2 Se 0.5275 0.0550 0.0000
# magnetization = 0.000 μB per atom
# energy relative to the elements, uncorrected = -1.65 eV/f.u.
# calculated volume = 26.99 Å³ per atom



# PBE Rb5Pr2F12, relaxed
data_Rb5Pr2F12
_chemical_formula_sum 'Rb10 Pr4 F24'
_symmetry_space_group_name_H-M 'C 1 2/m 1'
_symmetry_Int_Tables_number 12
_symmetry_space_group_name_Hall '-C 2y'
_cell_length_a 14.1001
_cell_length_b 8.3556
_cell_length_c 7.0462
_cell_angle_alpha 90.00
_cell_angle_beta 96.80
_cell_angle_gamma 90.00
loop_
_atom_site_label
_atom_site_type_symbol
_atom_site_fract_x
_atom_site_fract_y
_atom_site_fract_z
Rb1 Rb 0.0000 0.0000 0.0000
Rb2 Rb 0.1493 0.5000 0.0406
Rb3 Rb 0.2419 0.0000 0.4564
Pr1 Pr 0.0000 0.2533 0.5000
F1 F 0.0549 0.5000 0.3614
F2 F 0.0702 0.0000 0.6334
F3 F 0.1044 0.2013 0.2658
F4 F 0.1347 0.3064 0.7240
# magnetization = 0.067 μB per atom
# energy relative to the elements, uncorrected = -59.48 eV/f.u.
# calculated volume = 21.69 Å³ per atom



# PBE TaHN2, relaxed
data_TaHN2
_chemical_formula_sum 'Ta4 H4 N8'
_symmetry_space_group_name_H-M 'I -4 2 d'
_symmetry_Int_Tables_number 122
_symmetry_space_group_name_Hall 'I -4 2bw'
_cell_length_a 4.3305
_cell_length_b 4.3305
_cell_length_c 9.3461
_cell_angle_alpha 90.00
_cell_angle_beta 90.00
_cell_angle_gamma 90.00
loop_
_atom_site_label
_atom_site_type_symbol
_atom_site_fract_x
_atom_site_fract_y
_atom_site_fract_z
Ta1 Ta 0.0000 0.0000 0.0000
H1 H 0.0000 0.0000 0.5000
N1 N 0.2386 0.2500 0.6250
# offset from the most stable computed form = 0.6837 eV per atom
# magnetization = 0.000 μB per atom
# calculated volume = 10.95 Å³ per atom



# PBE Nd4SiSCl2, relaxed
data_Nd4SiSCl2
_chemical_formula_sum 'Nd4 Si1 S1 Cl2'
_symmetry_space_group_name_H-M 'P 1 2/m 1'
_symmetry_Int_Tables_number 10
_symmetry_space_group_name_Hall '-P 2y'
_cell_length_a 7.1316
_cell_length_b 4.1899
_cell_length_c 7.3805
_cell_angle_alpha 90.00
_cell_angle_beta 109.50
_cell_angle_gamma 90.00
loop_
_atom_site_label
_atom_site_type_symbol
_atom_site_fract_x
_atom_site_fract_y
_atom_site_fract_z
Nd1 Nd 0.2351 0.0000 0.2142
Nd2 Nd 0.2558 0.5000 0.7806
Si1 Si 0.5000 0.0000 0.0000
S1 S 0.0000 0.5000 0.0000
Cl1 Cl 0.0000 0.0000 0.5000
Cl2 Cl 0.5000 0.5000 0.5000
# magnetization = 0.000 μB per atom
# energy relative to the elements, uncorrected = -11.78 eV/f.u.
# calculated volume = 25.99 Å³ per atom



# PBE Sm2ReB10, relaxed
data_Sm2ReB10
_chemical_formula_sum 'Sm4 Re2 B20'
_symmetry_space_group_name_H-M 'P b a m'
_symmetry_Int_Tables_number 55
_symmetry_space_group_name_Hall '-P 2 2ab'
_cell_length_a 5.7840
_cell_length_b 11.5096
_cell_length_c 4.2058
_cell_angle_alpha 90.00
_cell_angle_beta 90.00
_cell_angle_gamma 90.00
loop_
_atom_site_label
_atom_site_type_symbol
_atom_site_fract_x
_atom_site_fract_y
_atom_site_fract_z
Sm1 Sm 0.2206 0.1337 0.0000
Re1 Re 0.0000 0.5000 0.5000
B1 B 0.0616 0.3073 0.5000
B2 B 0.1201 0.9588 0.5000
B3 B 0.1298 0.8026 0.5000
B4 B 0.2258 0.3811 0.2008
# calculated formation energy = -0.402 eV/atom
# magnetization = 0.000 μB per atom
# calculated volume = 10.77 Å³ per atom



- Look up the calculated volume of the third one.
  21.69 Å³ per atom